This record from Alexandria describes Nd6Ag5 after structural relaxation. The functional is PBE.

Computed properties:
- theoretical density (g/cm3) = 7.52
- magnetic moment (μB/f.u.) = 0.01
- E_form (eV/atom) = -0.16
- crystal system = orthorhombic
- SG = Immm (71)

abc: 5.2629 7.5093 9.0929
angles: 114.39 106.82 90.00
Fractional coordinates of all 11 atoms:
1 Nd 0.5000 0.2470 0.0000
2 Nd 0.1633 0.9155 0.3266
3 Nd 0.8367 0.5889 0.6734
4 Nd 0.1633 0.4111 0.3266
5 Nd 0.8367 0.0845 0.6734
6 Nd 0.5000 0.7530 0.0000
7 Ag 0.3314 0.3314 0.6628
8 Ag 0.6708 0.1708 0.3415
9 Ag 0.6686 0.6686 0.3372
10 Ag 0.3292 0.8292 0.6585
11 Ag 0.0000 0.5000 0.0000

This record from Alexandria describes La2NdSm3As6 after structural relaxation. The functional is PBE.

Computed properties:
- theoretical density (g/cm3) = 6.61
- magnetic moment (μB/f.u.) = 0.00
- E_form (eV/atom) = -1.54
- crystal system = monoclinic
- SG = C2/m (12)

abc: 4.2805 8.5569 9.5652
angles: 102.93 102.93 90.00
Fractional coordinates of all 12 atoms:
1 La 0.1661 0.3322 0.3322
2 La 0.8339 0.6678 0.6678
3 As 0.6650 0.5874 0.3299
4 As 0.0018 0.7488 0.0037
5 As 0.3328 0.9217 0.6656
6 As 0.6672 0.0783 0.3344
7 As 0.3350 0.4126 0.6701
8 As 0.9982 0.2512 0.9963
9 Sm 0.8334 0.1663 0.6668
10 Sm 0.1666 0.8337 0.3332
11 Sm 0.5000 0.5000 0.0000
12 Nd 0.5000 0.0000 0.0000

This record from Alexandria describes NiTeOs2W after structural relaxation. The functional is PBE.

Computed properties:
- formation energy without anion corrections (eV per atom) = 2.37
- theoretical density (g/cm3) = 12.24
- magnetic moment (μB/f.u.) = 2.39
- crystal system = tetragonal
- SG = P4/mmm (123)

abc: 4.7876 4.4416 4.7876
angles: 90.00 90.00 90.00
Last column: magnetic moment on the atom in μB.
Fractional coordinates of all 5 atoms:
1 W 0.5000 0.5000 0.5000  2.14
2 Os 0.0000 0.0000 0.5000  -0.09
3 Os 0.5000 0.0000 0.0000  -0.26
4 Te 0.0000 0.0000 0.0000  0.03
5 Ni 0.0000 0.5000 0.0000  0.00